(1)
A relaxed K3CaC crystal, computed with PBE-GGA.

Unit cell a=6.0777 b=6.0777 c=6.0777 alpha=90.00 beta=90.00 gamma=90.00
Fractional coordinates of all 5 atoms:
K (0.0000, 0.0000, 0.5000)
K (0.0000, 0.5000, 0.0000)
K (0.5000, 0.0000, 0.0000)
Ca (0.5000, 0.5000, 0.5000)
C (0.0000, 0.0000, 0.0000)

- ΔE_f: 0.992 eV per atom
- V: 44.90 Å³ per atom

=====

(2)
A relaxed KCaC3 crystal, computed with PBE-GGA.

Unit cell a=4.6132 b=4.6132 c=4.6132 alpha=90.00 beta=90.00 gamma=90.00
Fractional coordinates of all 5 atoms:
K (0.0000, 0.0000, 0.0000)
Ca (0.5000, 0.5000, 0.5000)
C (0.0000, 0.0000, 0.5000)
C (0.0000, 0.5000, 0.0000)
C (0.5000, 0.0000, 0.0000)

- ΔE_f: 3.385 eV per atom
- V: 19.64 Å³ per atom

=====

(3)
A relaxed KCaC3 crystal, computed with PBE-GGA.

Unit cell a=4.7751 b=4.7751 c=4.7751 alpha=90.00 beta=90.00 gamma=90.00
Fractional coordinates of all 5 atoms:
K (0.0000, 0.0000, 0.0000)
Ca (0.5000, 0.5000, 0.5000)
C (0.0000, 0.5000, 0.5000)
C (0.5000, 0.0000, 0.5000)
C (0.5000, 0.5000, 0.0000)

- ΔE_f: 2.854 eV per atom
- V: 21.78 Å³ per atom

=====

(4)
A relaxed KCa3C crystal, computed with PBE-GGA.

Unit cell a=5.3847 b=5.3847 c=5.3847 alpha=90.00 beta=90.00 gamma=90.00
Fractional coordinates of all 5 atoms:
K (0.0000, 0.0000, 0.0000)
Ca (0.0000, 0.5000, 0.5000)
Ca (0.5000, 0.0000, 0.5000)
Ca (0.5000, 0.5000, 0.0000)
C (0.5000, 0.5000, 0.5000)

- ΔE_f: 0.356 eV per atom
- V: 31.23 Å³ per atom

=====

(5)
A relaxed KCa2NiC crystal, computed with PBE-GGA.

Unit cell a=5.6721 b=5.6721 c=4.3057 alpha=90.00 beta=90.00 gamma=90.00
Fractional coordinates of all 5 atoms:
K (0.0000, 0.0000, 0.0000)
Ca (0.0000, 0.5000, 0.0000)
Ca (0.5000, 0.0000, 0.0000)
Ni (0.0000, 0.0000, 0.5000)
C (0.5000, 0.5000, 0.5000)

- ΔE_f: 2.191 eV per atom
- V: 27.71 Å³ per atom

=====

(6)
A relaxed KCaC2O6 crystal, computed with PBE-GGA.

Unit cell a=6.6252 b=6.6252 c=7.1284 alpha=103.18 beta=103.18 gamma=99.53
Fractional coordinates of all 20 atoms:
K (0.1306, 0.8694, 0.7500)
K (0.8694, 0.1306, 0.2500)
Ca (0.4001, 0.5999, 0.2500)
Ca (0.5999, 0.4001, 0.7500)
C (0.1421, 0.3905, 0.7490)
C (0.3905, 0.1421, 0.2490)
C (0.6095, 0.8579, 0.7510)
C (0.8579, 0.6095, 0.2510)
O (0.0512, 0.5898, 0.2871)
O (0.1983, 0.2412, 0.6367)
O (0.2412, 0.1983, 0.1367)
O (0.2888, 0.5284, 0.8968)
O (0.4102, 0.9488, 0.2129)
O (0.4716, 0.7112, 0.6032)
O (0.5284, 0.2888, 0.3968)
O (0.5898, 0.0512, 0.7871)
O (0.7112, 0.4716, 0.1032)
O (0.7588, 0.8017, 0.8633)
O (0.8017, 0.7588, 0.3633)
O (0.9488, 0.4102, 0.7129)

- Formation energy without anion corrections: -1.837 eV per atom
- V: 14.44 Å³ per atom

=====

(7)
A relaxed K3CaC2O6 crystal, computed with PBE-GGA.

Unit cell a=5.5257 b=5.5257 c=9.0318 alpha=90.00 beta=90.00 gamma=120.00
Fractional coordinates of all 12 atoms:
K (0.0000, 0.0000, 0.0000)
K (0.3333, 0.6667, 0.7117)
K (0.6667, 0.3333, 0.2883)
Ca (0.0000, 0.0000, 0.5000)
C (0.3333, 0.6667, 0.3464)
C (0.6667, 0.3333, 0.6536)
O (0.1973, 0.3945, 0.3458)
O (0.1973, 0.8027, 0.3458)
O (0.3945, 0.1973, 0.6542)
O (0.6055, 0.8027, 0.3458)
O (0.8027, 0.1973, 0.6542)
O (0.8027, 0.6055, 0.6542)

- Formation energy without anion corrections: -1.795 eV per atom
- V: 19.90 Å³ per atom

=====

(8)
A relaxed K2CaCS crystal, computed with PBE-GGA.

Unit cell a=6.2357 b=6.2357 c=3.9936 alpha=90.00 beta=90.00 gamma=90.00
Fractional coordinates of all 5 atoms:
K (0.0000, 0.5000, 0.0000)
K (0.5000, 0.0000, 0.0000)
Ca (0.0000, 0.0000, 0.5000)
C (0.5000, 0.5000, 0.0000)
S (0.5000, 0.5000, 0.5000)

- Formation energy without anion corrections: 0.804 eV per atom
- V: 31.06 Å³ per atom

=====

(9)
A relaxed KCaVC2 crystal, computed with PBE-GGA.

Unit cell a=4.1704 b=4.1704 c=4.8362 alpha=90.00 beta=90.00 gamma=90.00
Fractional coordinates of all 5 atoms:
K (0.0000, 0.0000, 0.0000)
Ca (0.5000, 0.5000, 0.0000)
V (0.5000, 0.5000, 0.5000)
C (0.0000, 0.5000, 0.5000)
C (0.5000, 0.0000, 0.5000)

- ΔE_f: 1.319 eV per atom
- V: 16.82 Å³ per atom

=====

(10)
A relaxed CaLaC3 crystal, computed with PBE-GGA.

Unit cell a=4.3955 b=4.3955 c=4.3955 alpha=90.00 beta=90.00 gamma=90.00
Fractional coordinates of all 5 atoms:
Ca (0.0000, 0.0000, 0.0000)
La (0.5000, 0.5000, 0.5000)
C (0.0000, 0.0000, 0.5000)
C (0.0000, 0.5000, 0.0000)
C (0.5000, 0.0000, 0.0000)

- ΔE_f: 1.943 eV per atom
- V: 16.98 Å³ per atom

=====

(11)
A relaxed CaLa3C8 crystal, computed with PBE-GGA.

Unit cell a=6.7431 b=6.3321 c=7.1969 alpha=59.38 beta=53.91 gamma=66.71
Fractional coordinates of all 12 atoms:
Ca (0.0000, 0.0000, 0.0000)
La (0.2915, 0.2915, 0.2085)
La (0.4852, 0.4852, 0.5148)
La (0.7915, 0.7915, 0.7085)
C (0.0328, 0.3752, 0.6248)
C (0.1124, 0.6138, 0.8876)
C (0.3285, 0.8349, 0.1651)
C (0.3752, 0.0328, 0.9672)
C (0.5814, 0.9075, 0.4186)
C (0.6138, 0.1124, 0.3862)
C (0.8349, 0.3285, 0.6715)
C (0.9075, 0.5814, 0.0925)

- ΔE_f: 0.094 eV per atom
- V: 17.64 Å³ per atom

=====

(12)
A relaxed Ca3LaC crystal, computed with PBE-GGA.

Unit cell a=5.2900 b=5.2900 c=5.2900 alpha=90.00 beta=90.00 gamma=90.00
Fractional coordinates of all 5 atoms:
Ca (0.0000, 0.0000, 0.5000)
Ca (0.0000, 0.5000, 0.0000)
Ca (0.5000, 0.0000, 0.0000)
La (0.5000, 0.5000, 0.5000)
C (0.0000, 0.0000, 0.0000)

- ΔE_f: 0.364 eV per atom
- V: 29.61 Å³ per atom

=====

(13)
A relaxed CaLaC3 crystal, computed with PBE-GGA.

Unit cell a=4.5396 b=4.5396 c=4.5396 alpha=90.00 beta=90.00 gamma=90.00
Fractional coordinates of all 5 atoms:
Ca (0.0000, 0.0000, 0.0000)
La (0.5000, 0.5000, 0.5000)
C (0.0000, 0.5000, 0.5000)
C (0.5000, 0.0000, 0.5000)
C (0.5000, 0.5000, 0.0000)

- ΔE_f: 1.949 eV per atom
- V: 18.71 Å³ per atom

=====

(14)
A relaxed CaLaC2 crystal, computed with PBE-GGA.

Unit cell a=4.5395 b=4.5395 c=4.5395 alpha=60.00 beta=60.00 gamma=60.00
Fractional coordinates of all 4 atoms:
Ca (0.0000, 0.0000, 0.0000)
La (0.5000, 0.5000, 0.5000)
C (0.2500, 0.2500, 0.2500)
C (0.7500, 0.7500, 0.7500)

- ΔE_f: 0.832 eV per atom
- V: 16.54 Å³ per atom